# 1
A relaxed structure of Ca2GaReBr. Source: Alexandria via LeMat-Bulk, functional PBEsol.

Computed properties:
The calculated volume comes out at 162.9 Å³/cell. The uncorrected formation energy is 1.16 eV per atom. Its crystal system is tetragonal. For the total magnetic moment, the calculation gives 3.9 μB/f.u. The total energy is -16.991 eV per cell.

a b c (Å): 5.5892 5.5892 5.2145
angles (deg): 90.00 90.00 90.00
Last column: nearest neighbours and their distance in Å.
Positions (direct):
Ca: 0.0000 0.5000 0.0000  2 Ga 2.79
Ca: 0.5000 0.0000 0.0000  2 Ga 2.79
Ga: 0.0000 0.0000 0.0000  2 Br 2.61, 4 Ca 2.79
Re: 0.5000 0.5000 0.5000  8 Ca 3.82, 4 Br 3.95
Br: 0.0000 0.0000 0.5000  2 Ga 2.61

# 2
A relaxed structure of CaGaWBr2. Source: Alexandria via LeMat-Bulk, functional PBEsol.

Computed properties:
The calculated volume comes out at 127.1 Å³/cell. The uncorrected formation energy is 0.22 eV per atom. Its crystal system is tetragonal. For the total magnetic moment, the calculation gives 0.3 μB/f.u. The total energy is -21.917 eV per cell.

a b c (Å): 5.0254 5.0254 5.0343
angles (deg): 90.00 90.00 90.00
Last column: nearest neighbours and their distance in Å.
Positions (direct):
Ca: 0.0000 0.0000 0.0000  4 Ga 3.55, 8 Br 3.56
Ga: 0.5000 0.5000 0.0000  2 W 2.52
W: 0.5000 0.5000 0.5000  4 Br 2.51, 2 Ga 2.52
Br: 0.0000 0.5000 0.5000  2 W 2.51
Br: 0.5000 0.0000 0.5000  2 W 2.51

# 3
A relaxed structure of CaGeSeBr2. Source: Alexandria via LeMat-Bulk, functional PBEsol.

Computed properties:
The calculated volume comes out at 157.1 Å³/cell. The uncorrected formation energy is -0.46 eV per atom. Its crystal system is tetragonal. For the total magnetic moment, the calculation gives 0.0 μB/f.u. The total energy is -16.956 eV per cell.

a b c (Å): 5.2663 5.2663 5.6637
angles (deg): 90.00 90.00 90.00
Last column: nearest neighbours and their distance in Å.
Positions (direct):
Ca: 0.0000 0.0000 0.0000  4 Br 2.63, 2 Se 2.83
Ge: 0.5000 0.5000 0.5000  4 Se 3.72, 8 Br 3.87
Se: 0.0000 0.0000 0.5000  2 Ca 2.83
Br: 0.0000 0.5000 0.0000  2 Ca 2.63
Br: 0.5000 0.0000 0.0000  2 Ca 2.63

# 4
A relaxed structure of Ca2TiGeBr. Source: Alexandria via LeMat-Bulk, functional PBEsol.

Computed properties:
The calculated volume comes out at 133.5 Å³/cell. The uncorrected formation energy is -0.02 eV per atom. Its crystal system is tetragonal. For the total magnetic moment, the calculation gives 2.0 μB/f.u. The total energy is -19.508 eV per cell.

a b c (Å): 5.3202 5.3202 4.7160
angles (deg): 90.00 90.00 90.00
Last column: nearest neighbours and their distance in Å.
Positions (direct):
Ca: 0.0000 0.5000 0.0000  2 Br 2.66
Ca: 0.5000 0.0000 0.0000  2 Br 2.66
Ti: 0.0000 0.0000 0.5000  2 Br 2.36
Ge: 0.5000 0.5000 0.5000  8 Ca 3.55, 4 Ti 3.76
Br: 0.0000 0.0000 0.0000  2 Ti 2.36

# 5
A relaxed structure of Ca3HBr. Source: Alexandria via LeMat-Bulk, functional PBEsol.

Computed properties:
The calculated volume comes out at 132.5 Å³/cell. Its crystal system is cubic. For the total magnetic moment, the calculation gives 0.0 μB/f.u. The total energy is -13.085 eV per cell.

a b c (Å): 5.0977 5.0977 5.0977
angles (deg): 90.00 90.00 90.00
Last column: nearest neighbours and their distance in Å.
Positions (direct):
Ca: 0.0000 0.0000 0.5000  2 H 2.55
Ca: 0.0000 0.5000 0.0000  2 H 2.55
Ca: 0.5000 0.0000 0.0000  2 H 2.55
H: 0.0000 0.0000 0.0000  6 Ca 2.55
Br: 0.5000 0.5000 0.5000  12 Ca 3.60

# 6
A relaxed structure of Ca2HBr. Source: Alexandria via LeMat-Bulk, functional PBEsol.

Computed properties:
The calculated volume comes out at 91.2 Å³/cell. Its crystal system is cubic. For the total magnetic moment, the calculation gives 0.0 μB/f.u. The total energy is -10.824 eV per cell.

a b c (Å): 5.0520 5.0520 5.0520
angles (deg): 60.00 60.00 60.00
Last column: nearest neighbours and their distance in Å.
Positions (direct):
Ca: 0.2500 0.2500 0.2500  4 Br 3.09, 4 H 3.09
Ca: 0.7500 0.7500 0.7500  4 H 3.09, 4 Br 3.09
H: 0.0000 0.0000 0.0000  8 Ca 3.09
Br: 0.5000 0.5000 0.5000  8 Ca 3.09

# 7
A relaxed structure of Ca2MgHBr. Source: Alexandria via LeMat-Bulk, functional PBEsol.

Computed properties:
The calculated volume comes out at 142.2 Å³/cell. Its crystal system is tetragonal. For the total magnetic moment, the calculation gives 0.0 μB/f.u. The total energy is -11.539 eV per cell.

a b c (Å): 6.1084 6.1084 3.8114
angles (deg): 90.00 90.00 90.00
Last column: nearest neighbours and their distance in Å.
Positions (direct):
Ca: 0.0000 0.5000 0.0000  2 Mg 3.05
Ca: 0.5000 0.0000 0.0000  2 Mg 3.05
Mg: 0.0000 0.0000 0.0000  2 H 1.91
H: 0.0000 0.0000 0.5000  2 Mg 1.91
Br: 0.5000 0.5000 0.5000  8 Ca 3.60, 2 Br 3.81

# 8
A relaxed structure of CaZn2H12Br6O6. Source: Alexandria via LeMat-Bulk, functional PBEsol.

Computed properties:
The calculated volume comes out at 878.4 Å³/cell. Its crystal system is monoclinic. For the total magnetic moment, the calculation gives 0.0 μB/f.u. The total energy is -235.438 eV per cell.

a b c (Å): 8.4745 8.4745 14.2963
angles (deg): 111.66 111.66 75.21
Last column: nearest neighbours and their distance in Å.
Positions (direct):
Ca: 0.0240 0.0240 0.2229  6 O 2.34-2.36
Ca: 0.9760 0.9760 0.7771  6 O 2.34-2.36
Zn: 0.3003 0.3003 0.6494  4 Br 2.38-2.48
Zn: 0.4230 0.4230 0.2050  4 Br 2.36-2.51
Zn: 0.5770 0.5770 0.7950  4 Br 2.36-2.51
Zn: 0.6997 0.6997 0.3506  4 Br 2.38-2.48
H: 0.0185 0.6816 0.8565  1 O 0.99
H: 0.0847 0.7637 0.5868  1 O 0.99
H: 0.1185 0.2693 0.9664  1 O 0.99
H: 0.1182 0.7730 0.3445  1 O 0.99
H: 0.1862 0.3414 0.3738  1 O 0.98
H: 0.2007 0.6820 0.8529  1 O 0.98
H: 0.2270 0.8818 0.6555  1 O 0.99
H: 0.2363 0.9153 0.4132  1 O 0.99
H: 0.2693 0.1185 0.9664  1 O 0.99
H: 0.3180 0.7993 0.1471  1 O 0.98
H: 0.3184 0.9815 0.1435  1 O 0.99
H: 0.3414 0.1862 0.3738  1 O 0.98
H: 0.6586 0.8138 0.6262  1 O 0.98
H: 0.6816 0.0185 0.8565  1 O 0.99
H: 0.6820 0.2007 0.8529  1 O 0.98
H: 0.7307 0.8815 0.0336  1 O 0.99
H: 0.7637 0.0847 0.5868  1 O 0.99
H: 0.7730 0.1182 0.3445  1 O 0.99
H: 0.7993 0.3180 0.1471  1 O 0.98
H: 0.8138 0.6586 0.6262  1 O 0.98
H: 0.8818 0.2270 0.6555  1 O 0.99
H: 0.8815 0.7307 0.0336  1 O 0.99
H: 0.9153 0.2363 0.4132  1 O 0.99
H: 0.9815 0.3184 0.1435  1 O 0.99
Br: 0.0016 0.6188 0.4054  3 H 2.34-2.46, 1 Zn 2.38
Br: 0.1259 0.5010 0.1335  2 H 2.27-2.46, 1 Zn 2.36
Br: 0.3812 0.9984 0.5946  3 H 2.34-2.46, 1 Zn 2.38
Br: 0.4204 0.4204 0.8439  2 Zn 2.48-2.51, 2 H 2.50
Br: 0.4556 0.4556 0.6046  2 Zn 2.44-2.45
Br: 0.4990 0.8741 0.8665  2 H 2.27-2.46, 1 Zn 2.36
Br: 0.5010 0.1259 0.1335  2 H 2.27-2.46, 1 Zn 2.36
Br: 0.5444 0.5444 0.3954  2 Zn 2.44-2.45
Br: 0.5796 0.5796 0.1561  2 Zn 2.48-2.51, 2 H 2.50
Br: 0.6188 0.0016 0.4054  3 H 2.34-2.46, 1 Zn 2.38
Br: 0.8741 0.4990 0.8665  2 H 2.27-2.46, 1 Zn 2.36
Br: 0.9984 0.3812 0.5946  3 H 2.34-2.46, 1 Zn 2.38
O: 0.0902 0.7546 0.8537  2 H 0.98-0.99
O: 0.1374 0.8326 0.6603  2 H 0.99
O: 0.1581 0.1581 0.9206  2 H 0.99
O: 0.1674 0.8626 0.3397  2 H 0.99
O: 0.2179 0.2179 0.3425  2 H 0.98
O: 0.2454 0.9098 0.1463  2 H 0.98-0.99
O: 0.7546 0.0902 0.8537  2 H 0.98-0.99
O: 0.7821 0.7821 0.6575  2 H 0.98
O: 0.8326 0.1374 0.6603  2 H 0.99
O: 0.8419 0.8419 0.0794  2 H 0.99
O: 0.8626 0.1674 0.3397  2 H 0.99
O: 0.9098 0.2454 0.1463  2 H 0.98-0.99

# 9
A relaxed structure of CaH2SBr. Source: Alexandria via LeMat-Bulk, functional PBEsol.

Computed properties:
The calculated volume comes out at 94.8 Å³/cell. Its crystal system is tetragonal. For the total magnetic moment, the calculation gives 0.5 μB/f.u. The total energy is -14.139 eV per cell.

a b c (Å): 3.9855 3.9855 5.9697
angles (deg): 90.00 90.00 90.00
Last column: nearest neighbours and their distance in Å.
Positions (direct):
Ca: 0.0000 0.0000 0.0000  4 H 1.99
H: 0.0000 0.5000 0.0000  2 Ca 1.99
H: 0.5000 0.0000 0.0000  2 Ca 1.99
S: 0.5000 0.5000 0.5000  4 Br 2.82
Br: 0.0000 0.0000 0.5000  4 S 2.82, 2 Ca 2.98

# 10
A relaxed structure of CaHfWBr2. Source: Alexandria via LeMat-Bulk, functional PBEsol.

Computed properties:
The calculated volume comes out at 175.2 Å³/cell. The uncorrected formation energy is 1.39 eV per atom. Its crystal system is tetragonal. For the total magnetic moment, the calculation gives 5.2 μB/f.u. The total energy is -23.233 eV per cell.

a b c (Å): 5.0216 5.0216 6.9487
angles (deg): 90.00 90.00 90.00
Last column: nearest neighbours and their distance in Å.
Positions (direct):
Ca: 0.0000 0.0000 0.0000  4 Br 2.51
Hf: 0.0000 0.0000 0.5000  2 Ca 3.47, 4 W 3.55
W: 0.5000 0.5000 0.5000  4 Hf 3.55
Br: 0.0000 0.5000 0.0000  2 Ca 2.51
Br: 0.5000 0.0000 0.0000  2 Ca 2.51

# 11
A relaxed structure of CaHgBr2. Source: Alexandria via LeMat-Bulk, functional PBEsol.

Computed properties:
The calculated volume comes out at 144.2 Å³/cell. The uncorrected formation energy is -1.30 eV per atom. Its crystal system is monoclinic. For the total magnetic moment, the calculation gives 0.0 μB/f.u. The total energy is -11.621 eV per cell.

a b c (Å): 5.1106 4.3792 6.9318
angles (deg): 90.00 111.60 90.00
Last column: nearest neighbours and their distance in Å.
Positions (direct):
Ca: 0.0000 0.0000 0.0000  4 Br 2.78-2.79
Hg: 0.8117 0.5000 0.6213  2 Ca 3.28, 6 Br 3.42-3.63
Br: 0.1353 0.5000 0.2684  2 Ca 2.79
Br: 0.4157 0.0000 0.8312  2 Ca 2.78

# 12
A relaxed structure of CaHgBr2. Source: Alexandria via LeMat-Bulk, functional PBEsol.

Computed properties:
The calculated volume comes out at 137.2 Å³/cell. The uncorrected formation energy is -1.42 eV per atom. Its crystal system is trigonal. For the total magnetic moment, the calculation gives 0.0 μB/f.u. The total energy is -12.133 eV per cell.

a b c (Å): 9.5458 9.5458 9.5458
angles (deg): 25.05 25.05 25.05
Last column: nearest neighbours and their distance in Å.
Positions (direct):
Ca: 0.0000 0.0000 0.0000  6 Br 2.87
Hg: 0.5000 0.5000 0.5000  6 Br 3.87, 6 Hg 4.14
Br: 0.2762 0.2762 0.2762  3 Ca 2.87
Br: 0.7238 0.7238 0.7238  3 Ca 2.87

What is the formula in the seventh record?
Ca2MgHBr

Which value of total magnetic moment does entry 8 give?
0.0 μB/f.u.